[1]
Computed, not measured: a geometry-optimized InCuF5 structure at the PBE level of DFT.

Summary:
* D(E_F): 0.151 states/eV/atom
* formation energy from raw total energies: -2.046 eV/atom
* total magnetization: 4.03 μB per cell
* volume: 392.4 Å³/cell

Cell: 8.431 7.187 6.953 Å, 90.00 111.35 90.00°
Space group C2/c (No. 15)
One atom of each set of equivalent atoms:
In 0.000 0.056 0.250 [4 per cell]
Cu 0.000 0.500 0.000 [4 per cell]
F 0.000 0.378 0.250 [4 per cell]
F 0.020 0.169 0.964 [8 per cell]
F 0.235 0.442 0.636 [8 per cell]



[2]
Computed, not measured: a geometry-optimized KYZr structure at the PBE level of DFT.

Summary:
* D(E_F): 1.817 states/eV/atom
* DFT formation energy: 1.43 eV/atom
* total magnetization: 20.86 μB per cell
* energy relative to the lowest polymorph listed for this composition: 1262 meV/atom
* volume: 520.7 Å³/cell

Cell: 8.045 8.045 8.045 Å, 90.00 90.00 90.00°
Space group F-43m (No. 216)
One atom of each set of equivalent atoms:
K 0.000 0.000 0.000 [4 per cell]
Y 0.000 0.000 0.500 [4 per cell]
Zr 0.250 0.250 0.750 [4 per cell]



[3]
Computed, not measured: a geometry-optimized Sm2PuRh2 structure at the PBE level of DFT.

Summary:
* D(E_F): 1.976 states/eV/atom
* DFT formation energy: -0.51 eV/atom
* total magnetization: 10.48 μB per cell
* energy relative to the lowest polymorph listed for this composition: 62 meV/atom
* volume: 255.9 Å³/cell

Cell: 5.839 4.236 10.381 Å, 90.00 94.86 90.00°
Space group P2_1/m (No. 11)
One atom of each set of equivalent atoms:
Sm 0.109 0.250 0.371 [2 per cell]
Sm 0.250 0.250 0.033 [2 per cell]
Pu 0.397 0.250 0.700 [2 per cell]
Rh 0.269 0.750 0.849 [2 per cell]
Rh 0.340 0.750 0.531 [2 per cell]